Entry 1:
Material: TcAuCl2
Method: DFT, PBE
State: optimized geometry

The space group is C2/m (No. 12) and the conventional cell measures 6.194, 8.547 and 3.232 Å, with angles of 90.00, 114.25 and 90.00 degrees. The inequivalent atoms are Tc at (0.000, 0.000, 0.000), Au at (0.000, 0.500, 0.000) and Cl at (0.250, 0.250, 0.000).

The calculation puts the formation energy from raw total energies at 206.7 kJ/mol of formula units. The total moment is 6.317 μB/cell.

---

Entry 2:
Material: TcAu2Cl
Method: DFT, PBE
State: optimized geometry

The space group is Imm2 (No. 44) and the conventional cell measures 2.845, 4.609 and 13.208 Å, with angles of 90.00, 90.00 and 90.00 degrees. The inequivalent atoms are Tc at (0.000, 0.000, 0.000), Au at (0.000, 0.000, 0.549), Au at (0.000, 0.500, 0.682) and Cl at (0.000, 0.500, 0.357).

The calculation puts the formation energy from raw total energies at 104.7 kJ/mol of formula units. The total moment is 0.006 μB/cell.

---

Entry 3:
Material: TcAu2Cl
Method: DFT, PBE
State: optimized geometry

The space group is Immm (No. 71) and the conventional cell measures 2.833, 4.244 and 12.638 Å, with angles of 90.00, 90.00 and 90.00 degrees. The inequivalent atoms are Tc at (0.000, 0.000, 0.000), Au at (0.000, 0.500, 0.305) and Cl at (0.000, 0.000, 0.500).

The calculation puts the formation energy from raw total energies at 166.5 kJ/mol of formula units. The total moment is 2.791 μB/cell.

---

Entry 4:
Material: TcAuCl2
Method: DFT, PBE
State: optimized geometry

The space group is P4mm (No. 99) and the conventional cell measures 3.054, 3.054 and 8.187 Å, with angles of 90.00, 90.00 and 90.00 degrees. The inequivalent atoms are Tc at (0.000, 0.000, 0.000), Au at (0.500, 0.500, 0.226), Cl at (0.000, 0.000, 0.446) and Cl at (0.500, 0.500, 0.833).

The calculation puts the formation energy from raw total energies at 103.9 kJ/mol of formula units. The total moment is 0.004 μB/cell.

---

Entry 5:
Material: TcAuCl2
Method: DFT, PBE
State: optimized geometry

The space group is R3m (No. 160, hexagonal axes) and the conventional cell measures 3.3042, 3.3042 and 25.8233 Å, with angles of 90.00, 90.00 and 120.00 degrees. The inequivalent atoms are Tc at (0.0000, 0.0000, 0.0000), Au at (0.0000, 0.0000, 0.7421), Cl at (0.0000, 0.0000, 0.2746) and Cl at (0.0000, 0.0000, 0.4789).

The calculation puts the formation energy from raw total energies at 22.7 kJ/mol of formula units. The total moment is 2.841 μB/cell.

---

Entry 6:
Material: TcAu2Cl
Method: DFT, PBE
State: optimized geometry

The space group is Pmmm (No. 47) and the conventional cell measures 2.977, 4.549 and 5.599 Å, with angles of 90.00, 90.00 and 90.00 degrees. The inequivalent atoms are Tc at (0.000, 0.000, 0.000), Au at (0.000, 0.500, 0.500), Au at (0.500, 0.000, 0.500) and Cl at (0.500, 0.500, 0.000).

The calculation puts the formation energy from raw total energies at 235.0 kJ/mol of formula units. The total moment is 3.080 μB/cell.

---

Entry 7:
Material: TcAu2Cl
Method: DFT, PBE
State: optimized geometry

The space group is Pm (No. 6) and the conventional cell measures 2.826, 3.045 and 9.134 Å, with angles of 90.00, 96.66 and 90.00 degrees. The inequivalent atoms are Tc at (0.000, 0.000, 0.000), Au at (0.167, 0.000, 0.445), Au at (0.582, 0.500, 0.217) and Cl at (0.928, 0.500, 0.809).

The calculation puts the formation energy from raw total energies at 79.7 kJ/mol of formula units. The total moment is 0.000 μB/cell.

---

Entry 8:
Material: Tc3AuCl
Method: DFT, PBE
State: optimized geometry

The space group is Pm-3m (No. 221) and the conventional cell measures 4.351, 4.351 and 4.351 Å, with angles of 90.00, 90.00 and 90.00 degrees. The inequivalent atoms are Tc at (0.000, 0.000, 0.500), Au at (0.500, 0.500, 0.500) and Cl at (0.000, 0.000, 0.000).

The calculation puts the formation energy from raw total energies at 518.3 kJ/mol of formula units. The total moment is 0.560 μB/cell.